# 1
! PBE Ho2TlSb, optimized geometry; values from VASP
! **DOS at the Fermi energy**: 9.642 states/eV per cell
! **Uncorrected formation energy**: -592 meV/atom
! **E above lowest polymorph**: 106 meV per atom
! **Raw total energy**: -4.503 eV/atom
! **Symmetry**: Pnma (62)
&SYSTEM
  ibrav = 0, nat = 16, ntyp = 3
/
ATOMIC_SPECIES
Ho 164.93 Ho.upf
Tl 204.38 Tl.upf
Sb 121.76 Sb.upf
ATOMIC_POSITIONS crystal
Ho 0.188 0.250 0.008
Ho 0.190 0.750 0.763
Ho 0.310 0.250 0.263
Ho 0.312 0.750 0.508
Ho 0.688 0.250 0.492
Ho 0.690 0.750 0.737
Ho 0.810 0.250 0.237
Ho 0.812 0.750 0.992
Tl 0.044 0.250 0.416
Tl 0.456 0.750 0.916
Tl 0.544 0.250 0.084
Tl 0.956 0.750 0.584
Sb 0.067 0.750 0.159
Sb 0.433 0.250 0.659
Sb 0.567 0.750 0.341
Sb 0.933 0.250 0.841
CELL_PARAMETERS angstrom
8.229 0.000 0.000
0.000 4.062 0.000
0.000 0.000 14.182

=====

# 2
! PBE MnBeVC2, optimized geometry; values from VASP
! **DOS at the Fermi energy**: 3.919 states/eV per cell
! **Energy of formation**: 1.61 eV per atom
! **Raw total energy**: -6.487 eV/atom
! **Symmetry**: P4/mmm (123)
&SYSTEM
  ibrav = 0, nat = 5, ntyp = 4
/
ATOMIC_SPECIES
Mn 54.94 Mn.upf
Be 9.01 Be.upf
V 50.94 V.upf
C 12.01 C.upf
ATOMIC_POSITIONS crystal
Mn 0.000 0.000 0.000
Be 0.000 0.000 0.500
V 0.500 0.500 0.000
C 0.000 0.500 0.500
C 0.500 0.000 0.500
CELL_PARAMETERS angstrom
3.572 0.000 0.000
0.000 3.572 0.000
0.000 0.000 3.786

=====

# 3
! PBE SiBF, optimized geometry; values from VASP
! **Uncorrected formation energy**: -794 meV/atom
! **E above lowest polymorph**: 54 meV per atom
! **Raw total energy**: -5.451 eV/atom
! **Symmetry**: P1 (1)
&SYSTEM
  ibrav = 0, nat = 6, ntyp = 3
/
ATOMIC_SPECIES
Si 28.09 Si.upf
B 10.81 B.upf
F 19.00 F.upf
ATOMIC_POSITIONS crystal
Si 0.000 0.000 0.000
Si 0.439 0.088 0.464
B 0.713 0.566 0.539
B 0.931 0.940 0.604
F 0.548 0.703 0.979
F 0.890 0.304 0.064
CELL_PARAMETERS angstrom
3.641 0.000 0.000
-1.813 4.317 0.000
-1.697 -1.108 4.960

=====

# 4
! PBE Ag8BiS6, optimized geometry; values from VASP
! **DOS at the Fermi energy**: 4.046 states/eV per cell
! **Uncorrected formation energy**: -23 meV/atom
! **E above lowest polymorph**: 0 meV per atom
! **Raw total energy**: -3.453 eV/atom
! **Symmetry**: Pmn2_1 (31)
&SYSTEM
  ibrav = 0, nat = 30, ntyp = 3
/
ATOMIC_SPECIES
Ag 107.87 Ag.upf
Bi 208.98 Bi.upf
S 32.06 S.upf
ATOMIC_POSITIONS crystal
Ag 0.000 0.101 0.000
Ag 0.000 0.189 0.421
Ag 0.204 0.608 0.823
Ag 0.212 0.022 0.220
Ag 0.236 0.657 0.095
Ag 0.264 0.343 0.595
Ag 0.288 0.978 0.720
Ag 0.296 0.392 0.323
Ag 0.500 0.811 0.921
Ag 0.500 0.899 0.500
Ag 0.704 0.392 0.323
Ag 0.712 0.978 0.720
Ag 0.736 0.343 0.595
Ag 0.764 0.657 0.095
Ag 0.788 0.022 0.220
Ag 0.796 0.608 0.823
Bi 0.000 0.738 0.452
Bi 0.500 0.262 0.952
S 0.000 0.282 0.210
S 0.000 0.516 0.629
S 0.000 0.770 0.975
S 0.000 0.999 0.599
S 0.204 0.252 0.842
S 0.296 0.748 0.342
S 0.500 0.001 0.099
S 0.500 0.230 0.475
S 0.500 0.484 0.129
S 0.500 0.718 0.710
S 0.704 0.748 0.342
S 0.796 0.252 0.842
CELL_PARAMETERS angstrom
7.834 0.000 0.000
0.000 7.658 0.000
0.000 0.000 11.084

=====

# 5
! PBE Hf2InAg, optimized geometry; values from VASP
! **DOS at the Fermi energy**: 1.860 states/eV per cell
! **Energy of formation**: -0.01 eV per atom
! **Raw total energy**: -6.382 eV/atom
! **Symmetry**: P1 (1)
&SYSTEM
  ibrav = 0, nat = 4, ntyp = 3
/
ATOMIC_SPECIES
Hf 178.49 Hf.upf
In 114.82 In.upf
Ag 107.87 Ag.upf
ATOMIC_POSITIONS crystal
Hf 0.000 0.000 0.000
Hf 0.178 0.572 0.755
In 0.339 0.145 0.491
Ag 0.505 0.733 0.244
CELL_PARAMETERS angstrom
3.177 0.000 0.000
-1.547 2.788 0.000
-1.509 -0.987 9.830

=====

# 6
! PBE Pr4Cd2N, optimized geometry; values from VASP
! **DOS at the Fermi energy**: 7.548 states/eV per cell
! **Uncorrected formation energy**: -410 meV/atom
! **E above lowest polymorph**: 80 meV per atom
! **Raw total energy**: -4.592 eV/atom
! **Symmetry**: P2/m (10)
&SYSTEM
  ibrav = 0, nat = 7, ntyp = 3
/
ATOMIC_SPECIES
Pr 140.91 Pr.upf
Cd 112.41 Cd.upf
N 14.01 N.upf
ATOMIC_POSITIONS crystal
Pr 0.153 0.000 0.324
Pr 0.228 0.500 0.963
Pr 0.772 0.500 0.037
Pr 0.847 0.000 0.676
Cd 0.423 0.500 0.654
Cd 0.577 0.500 0.346
N 0.000 0.000 0.000
CELL_PARAMETERS angstrom
6.828 0.000 0.000
0.000 3.628 0.000
-1.983 0.000 8.060

=====

# 7
! PBE SbAsS3, optimized geometry; values from VASP
! **Uncorrected formation energy**: -73 meV/atom
! **E above lowest polymorph**: 103 meV per atom
! **Raw total energy**: -4.303 eV/atom
! **Symmetry**: C2/m (12)
&SYSTEM
  ibrav = 0, nat = 10, ntyp = 3
/
ATOMIC_SPECIES
Sb 121.76 Sb.upf
As 74.92 As.upf
S 32.06 S.upf
ATOMIC_POSITIONS crystal
Sb 0.116 0.116 0.139
Sb 0.884 0.884 0.861
As 0.356 0.356 0.271
As 0.644 0.644 0.729
S 0.101 0.101 0.558
S 0.298 0.298 0.827
S 0.434 0.434 0.106
S 0.566 0.566 0.894
S 0.702 0.702 0.173
S 0.899 0.899 0.442
CELL_PARAMETERS angstrom
10.602 -1.724 0.000
10.602 1.724 0.000
-1.266 0.000 8.266

=====

# 8
! PBE Pd3SeO6, optimized geometry; values from VASP
! **DOS at the Fermi energy**: 0.930 states/eV per cell
! **Uncorrected formation energy**: -284 meV/atom
! **Raw total energy**: -5.165 eV/atom
! **Symmetry**: R3 (146)
&SYSTEM
  ibrav = 0, nat = 10, ntyp = 3
/
ATOMIC_SPECIES
Pd 106.42 Pd.upf
Se 78.96 Se.upf
O 16.00 O.upf
ATOMIC_POSITIONS crystal
Pd 0.000 0.000 0.000
Pd 0.201 0.201 0.201
Pd 0.522 0.522 0.522
Se 0.726 0.726 0.726
O 0.072 0.448 0.793
O 0.273 0.922 0.592
O 0.448 0.793 0.072
O 0.592 0.273 0.922
O 0.793 0.072 0.448
O 0.922 0.592 0.273
CELL_PARAMETERS angstrom
2.623 1.514 5.297
-2.623 1.514 5.297
0.000 -3.028 5.297

=====

# 9
! PBE Li2ScCl, optimized geometry; values from VASP
! **DOS at the Fermi energy**: 3.987 states/eV per cell
! **Uncorrected formation energy**: -259 meV/atom
! **E above lowest polymorph**: 404 meV per atom
! **Raw total energy**: -3.260 eV/atom
! **Symmetry**: I-4m2 (119)
&SYSTEM
  ibrav = 0, nat = 4, ntyp = 3
/
ATOMIC_SPECIES
Li 6.94 Li.upf
Sc 44.96 Sc.upf
Cl 35.45 Cl.upf
ATOMIC_POSITIONS crystal
Li 0.000 0.000 0.000
Li 0.750 0.250 0.500
Sc 0.250 0.750 0.500
Cl 0.500 0.500 0.000
CELL_PARAMETERS angstrom
-1.986 1.986 4.931
1.986 -1.986 4.931
1.986 1.986 -4.931

=====

# 10
! PBE TlAg2OsCl8, optimized geometry; values from VASP
! **DOS at the Fermi energy**: 4.840 states/eV per cell
! **Uncorrected formation energy**: -524 meV/atom
! **Raw total energy**: -3.363 eV/atom
! **Symmetry**: P-1 (2)
&SYSTEM
  ibrav = 0, nat = 12, ntyp = 4
/
ATOMIC_SPECIES
Tl 204.38 Tl.upf
Ag 107.87 Ag.upf
Os 190.23 Os.upf
Cl 35.45 Cl.upf
ATOMIC_POSITIONS crystal
Tl 0.000 0.000 0.000
Ag 0.495 0.669 0.193
Ag 0.505 0.331 0.807
Os 0.000 0.000 0.500
Cl 0.081 0.760 0.250
Cl 0.146 0.818 0.631
Cl 0.336 0.204 0.521
Cl 0.471 0.270 0.065
Cl 0.529 0.730 0.935
Cl 0.664 0.796 0.479
Cl 0.854 0.182 0.369
Cl 0.919 0.240 0.750
CELL_PARAMETERS angstrom
6.247 0.000 0.000
-1.007 6.982 0.000
-0.058 -3.488 8.274

=====

# 11
! PBE LiNb2Ru2, optimized geometry; values from VASP
! **DOS at the Fermi energy**: 10.089 states/eV per cell
! **E above lowest polymorph**: 0 meV per atom
! **Energy of formation**: -0.03 eV per atom
! **Raw total energy**: -8.153 eV/atom
! **Symmetry**: P4/mbm (127)
&SYSTEM
  ibrav = 0, nat = 10, ntyp = 3
/
ATOMIC_SPECIES
Li 6.94 Li.upf
Nb 92.91 Nb.upf
Ru 101.07 Ru.upf
ATOMIC_POSITIONS crystal
Li 0.000 0.000 0.000
Li 0.500 0.500 0.000
Nb 0.155 0.345 0.500
Nb 0.345 0.845 0.500
Nb 0.655 0.155 0.500
Nb 0.845 0.655 0.500
Ru 0.143 0.643 0.000
Ru 0.357 0.143 0.000
Ru 0.643 0.857 0.000
Ru 0.857 0.357 0.000
CELL_PARAMETERS angstrom
7.520 0.000 0.000
0.000 7.520 0.000
0.000 0.000 3.014

=====

# 12
! PBE Pr3TmTh2P6, optimized geometry; values from VASP
! **DOS at the Fermi energy**: 3.945 states/eV per cell
! **Energy of formation**: -1.56 eV per atom
! **Raw total energy**: -7.065 eV/atom
! **Symmetry**: C2/m (12)
&SYSTEM
  ibrav = 0, nat = 12, ntyp = 4
/
ATOMIC_SPECIES
Pr 140.91 Pr.upf
Tm 168.93 Tm.upf
Th 232.04 Th.upf
P 30.97 P.upf
ATOMIC_POSITIONS crystal
Pr 0.000 0.000 0.000
Pr 0.334 0.334 0.666
Pr 0.666 0.666 0.334
Tm 0.000 0.000 0.500
Th 0.336 0.336 0.171
Th 0.664 0.664 0.829
P 0.162 0.162 0.585
P 0.168 0.168 0.079
P 0.499 0.499 0.260
P 0.501 0.501 0.740
P 0.832 0.832 0.921
P 0.838 0.838 0.415
CELL_PARAMETERS angstrom
9.043 -2.074 0.000
9.043 2.074 0.000
-1.942 0.000 8.057

=====

Computed values of total magnetization (unit: μB per atom) for the preceding records, in sequence: 0.000, 0.152, 0.000, 0.000, 0.000, 0.000, 0.000, 0.000, 0.000, 0.241, 0.000, 0.000.